PBE+U Na3Pm2FeO6, optimized geometry; crystal system = monoclinic; E = -6.32 eV/atom; magnetization = 0.408 μB per atom
1.0
2.9360 -5.1135 0.0000
2.9360 5.1135 0.0000
-1.8815 0.0000 5.5863
Na Pm Fe O
3 2 1 6
Cartesian
0.0000 0.0000 0.0000
2.9360 1.5299 0.0000
2.9360 -1.5299 0.0000
1.9952 3.4015 2.7932
1.9952 -3.4015 2.7932
1.9952 0.0000 2.7932
1.1041 1.5493 1.6142
0.2054 0.0000 3.9450
1.1041 -1.5493 1.6142
2.8863 1.5493 3.9721
3.7851 0.0000 1.6413
2.8863 -1.5493 3.9721